This record from the Alexandria database describes an optimized crystal structure of Pr3TcO6F2. The functional is GGA-PBE. Values from VASP.

The structure in Quantum ESPRESSO input format:
```
&SYSTEM
  ibrav = 0, nat = 12, ntyp = 4
/
ATOMIC_SPECIES
Pr 140.91 Pr.upf
Tc 98.00 Tc.upf
O 16.00 O.upf
F 19.00 F.upf
CELL_PARAMETERS angstrom
-3.419 -0.962 3.593
2.041 -6.478 0.208
2.638 4.530 4.215
ATOMIC_POSITIONS crystal
Pr 0.000 0.500 0.000
Pr 0.500 0.500 0.500
Pr 0.500 0.000 0.500
Tc 0.500 0.000 0.000
O 0.714 0.293 0.130
O 0.286 0.707 0.870
O 0.703 0.848 0.697
O 0.297 0.152 0.303
O 0.286 0.163 0.870
O 0.714 0.837 0.130
F 0.220 0.677 0.354
F 0.780 0.323 0.646
```

**Raw total energy**: -7.5070 eV/atom
**ρ**: 5.46 g cm⁻³
**Space-group type**: C2/m



This record from the Alexandria database describes an optimized crystal structure of HfZnNiAg. The functional is GGA-PBE. Values from VASP.

The structure in Quantum ESPRESSO input format:
```
&SYSTEM
  ibrav = 0, nat = 4, ntyp = 4
/
ATOMIC_SPECIES
Ni 58.69 Ni.upf
Zn 65.41 Zn.upf
Hf 178.49 Hf.upf
Ag 107.87 Ag.upf
CELL_PARAMETERS angstrom
4.488 0.000 0.000
2.244 3.887 0.000
2.244 1.296 3.664
ATOMIC_POSITIONS crystal
Ni 0.750 0.750 0.750
Zn 0.000 0.000 0.000
Hf 0.500 0.500 0.500
Ag 0.250 0.250 0.250
```

**DFT formation energy**: -135 meV/atom
**ρ**: 10.66 g cm⁻³
**Space-group type**: F-43m



This record from the Alexandria database describes an optimized crystal structure of Nb2CrRe. The functional is GGA-PBE. Values from VASP.

The structure in Quantum ESPRESSO input format:
```
&SYSTEM
  ibrav = 0, nat = 4, ntyp = 3
/
ATOMIC_SPECIES
Re 186.21 Re.upf
Nb 92.91 Nb.upf
Cr 52.00 Cr.upf
CELL_PARAMETERS angstrom
3.165 0.000 0.000
0.000 4.475 0.000
0.000 0.000 4.475
ATOMIC_POSITIONS crystal
Re 0.500 0.000 0.000
Nb 0.000 0.000 0.500
Nb 0.000 0.500 0.000
Cr 0.500 0.500 0.500
```

**DFT formation energy**: -139 meV/atom
**ρ**: 11.11 g cm⁻³
**Space-group type**: P4/mmm



This record from the Alexandria database describes an optimized crystal structure of Tl2W. The functional is GGA-PBE. Values from VASP.

The structure in Quantum ESPRESSO input format:
```
&SYSTEM
  ibrav = 0, nat = 6, ntyp = 2
/
ATOMIC_SPECIES
Tl 204.38 Tl.upf
W 183.84 W.upf
CELL_PARAMETERS angstrom
1.612 5.360 0.195
-1.612 5.360 0.195
0.000 2.367 8.803
ATOMIC_POSITIONS crystal
Tl 0.039 0.039 0.975
Tl 0.389 0.389 0.391
Tl 0.575 0.575 0.628
Tl 0.694 0.694 0.219
W 0.818 0.818 0.708
W 0.319 0.319 0.912
```

**DFT formation energy**: 662 meV/atom
**E above lowest polymorph**: 33.5 meV/atom
**ρ**: 13.07 g cm⁻³
**Space-group type**: Cm



This record from the Alexandria database describes an optimized crystal structure of LaCoH. The functional is GGA-PBE. Values from VASP.

The structure in Quantum ESPRESSO input format:
```
&SYSTEM
  ibrav = 0, nat = 12, ntyp = 3
/
ATOMIC_SPECIES
La 138.91 La.upf
Co 58.93 Co.upf
H 1.01 H.upf
CELL_PARAMETERS angstrom
3.882 0.000 0.000
0.000 13.288 0.000
0.000 0.000 3.861
ATOMIC_POSITIONS crystal
La 0.000 0.628 0.250
La 0.000 0.372 0.750
La 0.500 0.128 0.250
La 0.500 0.872 0.750
Co 0.000 0.947 0.250
Co 0.000 0.053 0.750
Co 0.500 0.447 0.250
Co 0.500 0.553 0.750
H 0.000 0.824 0.250
H 0.000 0.176 0.750
H 0.500 0.324 0.250
H 0.500 0.676 0.750
```

**E above lowest polymorph**: 0.0 meV/atom
**ρ**: 6.63 g cm⁻³
**Space-group type**: Cmcm



This record from the Alexandria database describes an optimized crystal structure of CuAu2S. The functional is GGA-PBE. Values from VASP.

The structure in Quantum ESPRESSO input format:
```
&SYSTEM
  ibrav = 0, nat = 8, ntyp = 3
/
ATOMIC_SPECIES
S 32.06 S.upf
Au 196.97 Au.upf
Cu 63.55 Cu.upf
CELL_PARAMETERS angstrom
-1.272 1.825 3.217
2.234 -2.332 2.207
7.431 5.770 2.043
ATOMIC_POSITIONS crystal
S 0.500 0.500 0.000
S 0.250 0.750 0.500
Au 0.625 0.125 0.250
Au 0.125 0.625 0.250
Au 0.375 0.375 0.750
Au 0.875 0.875 0.750
Cu 0.000 0.000 0.000
Cu 0.750 0.250 0.500
```

**Raw total energy**: -3.4397 eV/atom
**ρ**: 11.52 g cm⁻³
**Space-group type**: I-42d



This record from the Alexandria database describes an optimized crystal structure of Al3Ag4. The functional is GGA-PBE. Values from VASP.

The structure in Quantum ESPRESSO input format:
```
&SYSTEM
  ibrav = 0, nat = 7, ntyp = 2
/
ATOMIC_SPECIES
Ag 107.87 Ag.upf
Al 26.98 Al.upf
CELL_PARAMETERS angstrom
-13.536 -3.307 2.590
0.814 -2.681 -0.811
0.960 -0.526 2.703
ATOMIC_POSITIONS crystal
Ag 0.996 0.998 0.998
Ag 0.153 0.576 0.576
Ag 0.419 0.709 0.709
Ag 0.575 0.288 0.288
Al 0.286 0.143 0.143
Al 0.713 0.857 0.857
Al 0.858 0.429 0.429
```

**DFT formation energy**: -30 meV/atom
**E above lowest polymorph**: 20.8 meV/atom
**ρ**: 7.13 g cm⁻³
**Space-group type**: I4/mmm



This record from the Alexandria database describes an optimized crystal structure of La3CoPb. The functional is GGA-PBE. Values from VASP.

The structure in Quantum ESPRESSO input format:
```
&SYSTEM
  ibrav = 0, nat = 5, ntyp = 3
/
ATOMIC_SPECIES
Pb 207.20 Pb.upf
Co 58.93 Co.upf
La 138.91 La.upf
CELL_PARAMETERS angstrom
4.846 0.000 4.159
-2.423 4.197 4.159
-2.423 -4.197 4.159
ATOMIC_POSITIONS crystal
Pb 0.830 0.830 0.830
Co 0.052 0.052 0.052
La 0.832 0.328 0.832
La 0.328 0.832 0.832
La 0.832 0.832 0.328
```

**DFT formation energy**: 429 meV/atom
**E above lowest polymorph**: 823.4 meV/atom
**ρ**: 4.47 g cm⁻³
**Space-group type**: R3m



This record from the Alexandria database describes an optimized crystal structure of Tb3Dy. The functional is GGA-PBE. Values from VASP.

The structure in Quantum ESPRESSO input format:
```
&SYSTEM
  ibrav = 0, nat = 4, ntyp = 2
/
ATOMIC_SPECIES
Tb 158.93 Tb.upf
Dy 162.50 Dy.upf
CELL_PARAMETERS angstrom
5.661 0.000 0.000
2.830 4.902 0.000
2.830 1.634 4.622
ATOMIC_POSITIONS crystal
Tb 0.000 0.000 0.000
Tb 0.750 0.750 0.750
Tb 0.250 0.250 0.250
Dy 0.500 0.500 0.500
```

**DFT formation energy**: 148 meV/atom
**E above lowest polymorph**: 135.7 meV/atom
**ρ**: 8.28 g cm⁻³
**Space-group type**: Fm-3m



This record from the Alexandria database describes an optimized crystal structure of La9PmMg2. The functional is GGA-PBE. Values from VASP.

The structure in Quantum ESPRESSO input format:
```
&SYSTEM
  ibrav = 0, nat = 12, ntyp = 3
/
ATOMIC_SPECIES
La 138.91 La.upf
Pm 145.00 Pm.upf
Mg 24.30 Mg.upf
CELL_PARAMETERS angstrom
-3.688 -1.613 -3.246
-1.772 -3.238 3.621
-9.459 11.053 5.254
ATOMIC_POSITIONS crystal
La 0.500 0.500 0.000
La 0.500 0.500 0.335
La 0.500 0.500 0.665
La 0.500 0.000 0.170
La 0.500 0.000 0.500
La 0.500 0.000 0.830
La 0.000 0.500 0.170
La 0.000 0.500 0.500
La 0.000 0.500 0.830
Pm 0.000 0.000 0.000
Mg 0.000 0.000 0.336
Mg 0.000 0.000 0.664
```

**DFT formation energy**: -13 meV/atom
**ρ**: 5.80 g cm⁻³
**Space-group type**: P4/mmm



This record from the Alexandria database describes an optimized crystal structure of CaZnCu. The functional is GGA-PBE. Values from VASP.

The structure in Quantum ESPRESSO input format:
```
&SYSTEM
  ibrav = 0, nat = 3, ntyp = 3
/
ATOMIC_SPECIES
Zn 65.41 Zn.upf
Ca 40.08 Ca.upf
Cu 63.55 Cu.upf
CELL_PARAMETERS angstrom
-0.649 3.745 2.904
-3.163 3.399 -1.150
-4.065 0.423 2.485
ATOMIC_POSITIONS crystal
Zn 0.500 0.500 0.500
Ca 0.250 0.250 0.250
Cu 0.000 0.000 0.000
```

**DFT formation energy**: 349 meV/atom
**ρ**: 3.63 g cm⁻³
**Space-group type**: F-43m



This record from the Alexandria database describes an optimized crystal structure of NpHgSb. The functional is GGA-PBE. Values from VASP.

The structure in Quantum ESPRESSO input format:
```
&SYSTEM
  ibrav = 0, nat = 3, ntyp = 3
/
ATOMIC_SPECIES
Np 237.00 Np.upf
Sb 121.76 Sb.upf
Hg 200.59 Hg.upf
CELL_PARAMETERS angstrom
4.008 0.000 0.000
0.000 4.008 0.000
-2.004 -2.004 4.910
ATOMIC_POSITIONS crystal
Np 0.289 0.289 0.577
Sb 0.946 0.946 0.893
Hg 0.615 0.615 0.230
```

**E above lowest polymorph**: 32.9 meV/atom
**ρ**: 11.78 g cm⁻³
**Space-group type**: I4mm



This record from the Alexandria database describes an optimized crystal structure of CdPb4Au3. The functional is GGA-PBE. Values from VASP.

The structure in Quantum ESPRESSO input format:
```
&SYSTEM
  ibrav = 0, nat = 8, ntyp = 3
/
ATOMIC_SPECIES
Pb 207.20 Pb.upf
Au 196.97 Au.upf
Cd 112.41 Cd.upf
CELL_PARAMETERS angstrom
4.016 0.000 0.000
0.000 4.458 0.000
0.000 0.000 11.470
ATOMIC_POSITIONS crystal
Pb 0.500 0.500 0.360
Pb 0.000 0.500 0.843
Pb 0.000 0.000 0.159
Pb 0.500 0.000 0.645
Au 0.000 0.500 0.584
Au 0.000 0.000 0.419
Au 0.500 0.000 0.913
Cd 0.500 0.500 0.075
```

**DFT formation energy**: -61 meV/atom
**ρ**: 12.39 g cm⁻³
**Space-group type**: Pmm2